[1]
# KSmCoSe3 (GGA-PBE, optimized geometry)
# VASP energy ... -5.01 eV/atom
# Distance to the lowest polymorph of the same formula ... 40 meV/atom
data_KSmCoSe3
_cell_length_a 11.5580
_cell_length_b 4.2421
_cell_length_c 12.5171
_cell_angle_alpha 90.00
_cell_angle_beta 90.00
_cell_angle_gamma 90.00
_symmetry_space_group_name_H-M 'P n m a'
_symmetry_Int_Tables_number 62
_symmetry_space_group_name_Hall '-P 2ac 2n'
loop_
_atom_site_label
_atom_site_type_symbol
_atom_site_fract_x
_atom_site_fract_y
_atom_site_fract_z
K1 K 0.1735 0.2500 0.0053
Sm1 Sm 0.0205 0.2500 0.6750
Co1 Co 0.2471 0.2500 0.2947
Se1 Se 0.0520 0.7500 0.8344
Se2 Se 0.1099 0.2500 0.4403
Se3 Se 0.2170 0.7500 0.2057

=====

[2]
# Ta2Co2GePb (GGA-PBE, optimized geometry)
# VASP energy ... -7.87 eV/atom
data_Ta2Co2GePb
_cell_length_a 10.1859
_cell_length_b 4.1413
_cell_length_c 10.2527
_cell_angle_alpha 90.00
_cell_angle_beta 109.62
_cell_angle_gamma 90.00
_symmetry_space_group_name_H-M 'P 1 m 1'
_symmetry_Int_Tables_number 6
_symmetry_space_group_name_Hall 'P -2y'
loop_
_atom_site_label
_atom_site_type_symbol
_atom_site_fract_x
_atom_site_fract_y
_atom_site_fract_z
Ta1 Ta 0.0000 0.0000 0.0000
Ta2 Ta 0.1192 0.5000 0.4007
Ta3 Ta 0.2397 0.0000 0.7553
Ta4 Ta 0.3699 0.5000 0.1356
Ta5 Ta 0.4906 0.0000 0.5098
Ta6 Ta 0.6118 0.5000 0.8774
Ta7 Ta 0.7456 0.0000 0.2744
Ta8 Ta 0.8751 0.5000 0.6327
Co1 Co 0.0015 0.0000 0.7557
Co2 Co 0.1218 0.5000 0.1201
Co3 Co 0.2397 0.0000 0.5181
Co4 Co 0.3600 0.5000 0.8749
Co5 Co 0.5027 0.0000 0.2710
Co6 Co 0.6072 0.5000 0.6247
Co7 Co 0.7428 0.0000 0.0067
Co8 Co 0.8717 0.5000 0.3981
Ge1 Ge 0.1217 0.5000 0.8807
Ge2 Ge 0.3674 0.5000 0.6355
Ge3 Ge 0.6179 0.5000 0.3890
Ge4 Ge 0.9941 0.0000 0.5128
Pb1 Pb 0.2401 0.0000 0.2625
Pb2 Pb 0.4939 0.0000 0.0121
Pb3 Pb 0.7445 0.0000 0.7560
Pb4 Pb 0.8719 0.5000 0.1381

=====

[3]
# SmTlZnS3 (GGA-PBE, optimized geometry)
# VASP energy ... -4.64 eV/atom
# Distance to the lowest polymorph of the same formula ... 18 meV/atom
data_SmTlZnS3
_cell_length_a 14.4422
_cell_length_b 4.0392
_cell_length_c 10.9401
_cell_angle_alpha 90.00
_cell_angle_beta 90.00
_cell_angle_gamma 90.00
_symmetry_space_group_name_H-M 'P n m a'
_symmetry_Int_Tables_number 62
_symmetry_space_group_name_Hall '-P 2ac 2n'
loop_
_atom_site_label
_atom_site_type_symbol
_atom_site_fract_x
_atom_site_fract_y
_atom_site_fract_z
Sm1 Sm 0.0242 0.2500 0.1574
Tl1 Tl 0.2416 0.2500 0.4616
Zn1 Zn 0.0187 0.7500 0.4026
S1 S 0.0742 0.7500 0.6098
S2 S 0.0957 0.2500 0.9239
S3 S 0.1354 0.7500 0.2558

=====

[4]
# ZrBeAl (GGA-PBE, optimized geometry)
# VASP energy ... -4.74 eV/atom
# Distance to the lowest polymorph of the same formula ... 308 meV/atom
data_ZrBeAl
_cell_length_a 6.2105
_cell_length_b 6.2105
_cell_length_c 6.2105
_cell_angle_alpha 90.00
_cell_angle_beta 90.00
_cell_angle_gamma 90.00
_symmetry_space_group_name_H-M 'F -4 3 m'
_symmetry_Int_Tables_number 216
_symmetry_space_group_name_Hall 'F -4 2 3'
loop_
_atom_site_label
_atom_site_type_symbol
_atom_site_fract_x
_atom_site_fract_y
_atom_site_fract_z
Zr1 Zr 0.0000 0.0000 0.0000
Be1 Be 0.2500 0.2500 0.2500
Al1 Al 0.2500 0.2500 0.7500

=====

[5]
# NaZrBe (GGA-PBE, optimized geometry)
# VASP energy ... -3.66 eV/atom
# Distance to the lowest polymorph of the same formula ... 0 meV/atom
data_NaZrBe
_cell_length_a 6.2382
_cell_length_b 6.2382
_cell_length_c 6.2382
_cell_angle_alpha 90.00
_cell_angle_beta 90.00
_cell_angle_gamma 90.00
_symmetry_space_group_name_H-M 'F -4 3 m'
_symmetry_Int_Tables_number 216
_symmetry_space_group_name_Hall 'F -4 2 3'
loop_
_atom_site_label
_atom_site_type_symbol
_atom_site_fract_x
_atom_site_fract_y
_atom_site_fract_z
Na1 Na 0.0000 0.0000 0.0000
Zr1 Zr 0.0000 0.0000 0.5000
Be1 Be 0.2500 0.2500 0.2500

=====

[6]
# GaOsNO (GGA-PBE, optimized geometry)
# VASP energy ... -7.35 eV/atom
# Distance to the lowest polymorph of the same formula ... 0 meV/atom
data_GaOsNO
_cell_length_a 5.3359
_cell_length_b 7.5883
_cell_length_c 4.8093
_cell_angle_alpha 90.00
_cell_angle_beta 90.00
_cell_angle_gamma 90.00
_symmetry_space_group_name_H-M 'P c a 21'
_symmetry_Int_Tables_number 29
_symmetry_space_group_name_Hall 'P 2c -2ac'
loop_
_atom_site_label
_atom_site_type_symbol
_atom_site_fract_x
_atom_site_fract_y
_atom_site_fract_z
Ga1 Ga 0.0611 0.1283 0.0000
Os1 Os 0.1046 0.5297 0.9741
N1 N 0.1112 0.6757 0.6291
O1 O 0.1148 0.0754 0.6276

=====

[7]
# LaGa2Ir2 (GGA-PBE, optimized geometry)
# VASP energy ... -6.46 eV/atom
data_LaGa2Ir2
_cell_length_a 4.3038
_cell_length_b 4.3038
_cell_length_c 10.2512
_cell_angle_alpha 90.00
_cell_angle_beta 90.00
_cell_angle_gamma 90.00
_symmetry_space_group_name_H-M 'I 4/m m m'
_symmetry_Int_Tables_number 139
_symmetry_space_group_name_Hall '-I 4 2'
loop_
_atom_site_label
_atom_site_type_symbol
_atom_site_fract_x
_atom_site_fract_y
_atom_site_fract_z
La1 La 0.0000 0.0000 0.0000
Ga1 Ga 0.0000 0.0000 0.3732
Ir1 Ir 0.0000 0.5000 0.2500

=====

[8]
# HoTm2Ga (GGA-PBE, optimized geometry)
# VASP energy ... -4.38 eV/atom
# Distance to the lowest polymorph of the same formula ... 17 meV/atom
data_HoTm2Ga
_cell_length_a 6.6953
_cell_length_b 11.6784
_cell_length_c 5.1778
_cell_angle_alpha 90.00
_cell_angle_beta 90.00
_cell_angle_gamma 90.00
_symmetry_space_group_name_H-M 'C m c m'
_symmetry_Int_Tables_number 63
_symmetry_space_group_name_Hall '-C 2c 2'
loop_
_atom_site_label
_atom_site_type_symbol
_atom_site_fract_x
_atom_site_fract_y
_atom_site_fract_z
Ho1 Ho 0.0000 0.1765 0.2500
Tm1 Tm 0.2383 0.4138 0.2500
Ga1 Ga 0.0000 0.3363 0.7500

=====

[9]
# TbNiGe2Pd (GGA-PBE, optimized geometry)
# VASP energy ... -5.65 eV/atom
data_TbNiGe2Pd
_cell_length_a 4.1878
_cell_length_b 4.1878
_cell_length_c 10.0176
_cell_angle_alpha 90.00
_cell_angle_beta 90.00
_cell_angle_gamma 90.00
_symmetry_space_group_name_H-M 'I -4 m 2'
_symmetry_Int_Tables_number 119
_symmetry_space_group_name_Hall 'I -4 -2'
loop_
_atom_site_label
_atom_site_type_symbol
_atom_site_fract_x
_atom_site_fract_y
_atom_site_fract_z
Tb1 Tb 0.0000 0.0000 0.0000
Ni1 Ni 0.0000 0.5000 0.2500
Ge1 Ge 0.0000 0.0000 0.3764
Pd1 Pd 0.0000 0.5000 0.7500

=====

[10]
# Gd3Mg3TlPt2 (GGA-PBE, optimized geometry)
# VASP energy ... -4.36 eV/atom
data_Gd3Mg3TlPt2
_cell_length_a 7.5289
_cell_length_b 7.5289
_cell_length_c 4.2164
_cell_angle_alpha 90.00
_cell_angle_beta 90.00
_cell_angle_gamma 120.00
_symmetry_space_group_name_H-M 'P -6 2 m'
_symmetry_Int_Tables_number 189
_symmetry_space_group_name_Hall 'P -6 -2'
loop_
_atom_site_label
_atom_site_type_symbol
_atom_site_fract_x
_atom_site_fract_y
_atom_site_fract_z
Gd1 Gd 0.0000 0.5764 0.0000
Mg1 Mg 0.0000 0.2595 0.5000
Tl1 Tl 0.0000 0.0000 0.0000
Pt1 Pt 0.3333 0.6667 0.5000

=====

[11]
# YAg2W (GGA-PBE, optimized geometry)
# VASP energy ... -5.63 eV/atom
# Formation energy ... 0.635 eV/atom
data_YAg2W
_cell_length_a 6.8392
_cell_length_b 6.8392
_cell_length_c 6.8392
_cell_angle_alpha 90.00
_cell_angle_beta 90.00
_cell_angle_gamma 90.00
_symmetry_space_group_name_H-M 'F -4 3 m'
_symmetry_Int_Tables_number 216
_symmetry_space_group_name_Hall 'F -4 2 3'
loop_
_atom_site_label
_atom_site_type_symbol
_atom_site_fract_x
_atom_site_fract_y
_atom_site_fract_z
Y1 Y 0.0000 0.0000 0.0000
Ag1 Ag 0.0000 0.0000 0.5000
Ag2 Ag 0.2500 0.2500 0.2500
W1 W 0.2500 0.2500 0.7500

=====

[12]
# Fe5RePd2 (GGA-PBE, optimized geometry)
# VASP energy ... -7.92 eV/atom
# Formation energy ... 0.116 eV/atom
data_Fe5RePd2
_cell_length_a 4.1444
_cell_length_b 5.3729
_cell_length_c 9.1429
_cell_angle_alpha 90.00
_cell_angle_beta 90.00
_cell_angle_gamma 90.00
_symmetry_space_group_name_H-M 'A m m 2'
_symmetry_Int_Tables_number 38
_symmetry_space_group_name_Hall 'A 2 -2'
loop_
_atom_site_label
_atom_site_type_symbol
_atom_site_fract_x
_atom_site_fract_y
_atom_site_fract_z
Fe1 Fe 0.0000 0.0000 0.0000
Fe2 Fe 0.0000 0.2334 0.7688
Fe3 Fe 0.5000 0.2326 0.9259
Re1 Re 0.5000 0.0000 0.6953
Pd1 Pd 0.0000 0.0000 0.5102
Pd2 Pd 0.5000 0.0000 0.1810

=====

[13]
# TbYPt2 (GGA-PBE, optimized geometry)
# VASP energy ... -7.07 eV/atom
# Formation energy ... -1.266 eV/atom
data_TbYPt2
_cell_length_a 4.5142
_cell_length_b 7.0648
_cell_length_c 5.5842
_cell_angle_alpha 90.00
_cell_angle_beta 90.00
_cell_angle_gamma 90.00
_symmetry_space_group_name_H-M 'P m n 21'
_symmetry_Int_Tables_number 31
_symmetry_space_group_name_Hall 'P 2ac -2'
loop_
_atom_site_label
_atom_site_type_symbol
_atom_site_fract_x
_atom_site_fract_y
_atom_site_fract_z
Tb1 Tb 0.0000 0.0683 0.0000
Y1 Y 0.0000 0.5677 0.7803
Pt1 Pt 0.0000 0.2050 0.4862
Pt2 Pt 0.0000 0.7066 0.2942

=====

[14]
# LaSmTlFe2 (GGA-PBE, optimized geometry)
# VASP energy ... -5.81 eV/atom
data_LaSmTlFe2
_cell_length_a 4.0087
_cell_length_b 3.9440
_cell_length_c 14.5022
_cell_angle_alpha 90.00
_cell_angle_beta 90.00
_cell_angle_gamma 90.00
_symmetry_space_group_name_H-M 'A m m 2'
_symmetry_Int_Tables_number 38
_symmetry_space_group_name_Hall 'A 2 -2'
loop_
_atom_site_label
_atom_site_type_symbol
_atom_site_fract_x
_atom_site_fract_y
_atom_site_fract_z
La1 La 0.0000 0.0000 0.0000
Sm1 Sm 0.0000 0.0000 0.2749
Tl1 Tl 0.5000 0.0000 0.6409
Fe1 Fe 0.5000 0.0000 0.4285
Fe2 Fe 0.5000 0.0000 0.8436

=====

[15]
# AcZnF6 (GGA-PBE, optimized geometry)
# VASP energy ... -4.96 eV/atom
data_AcZnF6
_cell_length_a 7.0717
_cell_length_b 7.0717
_cell_length_c 6.8406
_cell_angle_alpha 90.00
_cell_angle_beta 90.00
_cell_angle_gamma 120.00
_symmetry_space_group_name_H-M 'R -3 m'
_symmetry_Int_Tables_number 166
_symmetry_space_group_name_Hall '-R 3 2"'
loop_
_atom_site_label
_atom_site_type_symbol
_atom_site_fract_x
_atom_site_fract_y
_atom_site_fract_z
Ac1 Ac 0.0000 0.0000 0.0000
Zn1 Zn 0.0000 0.0000 0.5000
F1 F 0.0916 0.5458 0.3480

=====

[16]
# Tm3Lu3Sb2Os (GGA-PBE, optimized geometry)
# VASP energy ... -5.82 eV/atom
# Distance to the lowest polymorph of the same formula ... 35 meV/atom
data_Tm3Lu3Sb2Os
_cell_length_a 8.0374
_cell_length_b 8.0374
_cell_length_c 4.1798
_cell_angle_alpha 90.00
_cell_angle_beta 90.00
_cell_angle_gamma 120.00
_symmetry_space_group_name_H-M 'P -6 2 m'
_symmetry_Int_Tables_number 189
_symmetry_space_group_name_Hall 'P -6 -2'
loop_
_atom_site_label
_atom_site_type_symbol
_atom_site_fract_x
_atom_site_fract_y
_atom_site_fract_z
Tm1 Tm 0.0000 0.7622 0.0000
Lu1 Lu 0.0000 0.3873 0.5000
Sb1 Sb 0.3333 0.6667 0.0000
Os1 Os 0.0000 0.0000 0.5000

=====

[17]
# FeReMoAs (GGA-PBE, optimized geometry)
# VASP energy ... -8.70 eV/atom
data_FeReMoAs
_cell_length_a 6.1298
_cell_length_b 6.1298
_cell_length_c 6.1298
_cell_angle_alpha 90.00
_cell_angle_beta 90.00
_cell_angle_gamma 90.00
_symmetry_space_group_name_H-M 'F -4 3 m'
_symmetry_Int_Tables_number 216
_symmetry_space_group_name_Hall 'F -4 2 3'
loop_
_atom_site_label
_atom_site_type_symbol
_atom_site_fract_x
_atom_site_fract_y
_atom_site_fract_z
Fe1 Fe 0.0000 0.0000 0.0000
Re1 Re 0.2500 0.2500 0.2500
Mo1 Mo 0.0000 0.0000 0.5000
As1 As 0.2500 0.2500 0.7500

=====

[18]
# Sn2Te2PtF2 (GGA-PBE, optimized geometry)
# VASP energy ... -4.40 eV/atom
data_Sn2Te2PtF2
_cell_length_a 4.0387
_cell_length_b 4.0387
_cell_length_c 9.4942
_cell_angle_alpha 90.00
_cell_angle_beta 90.00
_cell_angle_gamma 90.00
_symmetry_space_group_name_H-M 'P -4 m 2'
_symmetry_Int_Tables_number 115
_symmetry_space_group_name_Hall 'P -4 -2'
loop_
_atom_site_label
_atom_site_type_symbol
_atom_site_fract_x
_atom_site_fract_y
_atom_site_fract_z
Sn1 Sn 0.0000 0.5000 0.1601
Te1 Te 0.0000 0.5000 0.6741
Pt1 Pt 0.0000 0.0000 0.5000
F1 F 0.0000 0.0000 0.0000
F2 F 0.5000 0.5000 0.0000

=====

[19]
# NaRe3Bi5 (GGA-PBE, optimized geometry)
# VASP energy ... -6.00 eV/atom
data_NaRe3Bi5
_cell_length_a 5.6887
_cell_length_b 5.6887
_cell_length_c 8.8028
_cell_angle_alpha 90.00
_cell_angle_beta 90.00
_cell_angle_gamma 120.00
_symmetry_space_group_name_H-M 'P 6/m m m'
_symmetry_Int_Tables_number 191
_symmetry_space_group_name_Hall '-P 6 2'
loop_
_atom_site_label
_atom_site_type_symbol
_atom_site_fract_x
_atom_site_fract_y
_atom_site_fract_z
Na1 Na 0.0000 0.0000 0.0000
Re1 Re 0.0000 0.5000 0.5000
Bi1 Bi 0.0000 0.0000 0.5000
Bi2 Bi 0.3333 0.6667 0.2242

=====

[20]
# BaGaGePt2 (GGA-PBE, optimized geometry)
# VASP energy ... -5.11 eV/atom
data_BaGaGePt2
_cell_length_a 4.5150
_cell_length_b 4.5150
_cell_length_c 10.5809
_cell_angle_alpha 90.00
_cell_angle_beta 90.00
_cell_angle_gamma 90.00
_symmetry_space_group_name_H-M 'P 4/n m m'
_symmetry_Int_Tables_number 129
loop_
_symmetry_equiv_pos_as_xyz
'x,y,z'
'-x,-y,-z'
'-y+1/2,x,z'
'y+1/2,-x,-z'
'-x+1/2,-y+1/2,z'
'x+1/2,y+1/2,-z'
'y,-x+1/2,z'
'-y,x+1/2,-z'
'x+1/2,-y,-z'
'-x+1/2,y,z'
'-y,-x,-z'
'y,x,z'
'-x,y+1/2,-z'
'x,-y+1/2,z'
'y+1/2,x+1/2,-z'
'-y+1/2,-x+1/2,z'
loop_
_atom_site_label
_atom_site_type_symbol
_atom_site_fract_x
_atom_site_fract_y
_atom_site_fract_z
Ba1 Ba 0.2500 0.2500 0.2502
Ga1 Ga 0.2500 0.7500 0.0000
Ge1 Ge 0.2500 0.2500 0.6188
Pt1 Pt 0.2500 0.2500 0.8728
Pt2 Pt 0.2500 0.7500 0.5000

=====

[21]
# KTbZnS3 (GGA-PBE, optimized geometry)
# VASP energy ... -4.57 eV/atom
data_KTbZnS3
_cell_length_a 17.4056
_cell_length_b 4.0430
_cell_length_c 8.4274
_cell_angle_alpha 90.00
_cell_angle_beta 103.01
_cell_angle_gamma 90.00
_symmetry_space_group_name_H-M 'C 1 2/m 1'
_symmetry_Int_Tables_number 12
_symmetry_space_group_name_Hall '-C 2y'
loop_
_atom_site_label
_atom_site_type_symbol
_atom_site_fract_x
_atom_site_fract_y
_atom_site_fract_z
K1 K 0.1434 0.0000 0.0710
Tb1 Tb 0.1685 0.0000 0.5758
Zn1 Zn 0.0228 0.5000 0.7361
S1 S 0.0000 0.0000 0.5000
S2 S 0.0000 0.5000 0.0000
S3 S 0.1606 0.5000 0.7906
S4 S 0.1708 0.5000 0.3606

=====

[22]
# ScInFeHg (GGA-PBE, optimized geometry)
# VASP energy ... -4.41 eV/atom
# Distance to the lowest polymorph of the same formula ... 0 meV/atom
data_ScInFeHg
_cell_length_a 6.6370
_cell_length_b 6.6370
_cell_length_c 6.6370
_cell_angle_alpha 90.00
_cell_angle_beta 90.00
_cell_angle_gamma 90.00
_symmetry_space_group_name_H-M 'F -4 3 m'
_symmetry_Int_Tables_number 216
_symmetry_space_group_name_Hall 'F -4 2 3'
loop_
_atom_site_label
_atom_site_type_symbol
_atom_site_fract_x
_atom_site_fract_y
_atom_site_fract_z
Sc1 Sc 0.0000 0.0000 0.0000
In1 In 0.2500 0.2500 0.2500
Fe1 Fe 0.0000 0.0000 0.5000
Hg1 Hg 0.2500 0.2500 0.7500

=====

[23]
# GdBi (GGA-PBE, optimized geometry)
# VASP energy ... -5.13 eV/atom
# Distance to the lowest polymorph of the same formula ... 132 meV/atom
data_GdBi
_cell_length_a 4.2603
_cell_length_b 12.0153
_cell_length_c 4.7927
_cell_angle_alpha 90.00
_cell_angle_beta 90.00
_cell_angle_gamma 90.00
_symmetry_space_group_name_H-M 'C m c m'
_symmetry_Int_Tables_number 63
_symmetry_space_group_name_Hall '-C 2c 2'
loop_
_atom_site_label
_atom_site_type_symbol
_atom_site_fract_x
_atom_site_fract_y
_atom_site_fract_z
Gd1 Gd 0.0000 0.1227 0.2500
Bi1 Bi 0.0000 0.3858 0.2500